No. 1
Np2MnS3 | PBE-GGA | optimized geometry

Unit cell a=3.7498 b=7.7870 c=15.3435 alpha=90.00 beta=90.00 gamma=90.00
With the nearest neighbours (Å) after each atom.
Fractional positions:
Np: 0.2500 0.2503 0.9696  7 S 2.77-2.92
Np: 0.7500 0.7497 0.0304  7 S 2.77-2.92
Np: 0.7500 0.2497 0.4696  7 S 2.77-2.92
Np: 0.2500 0.7503 0.5304  7 S 2.77-2.92
Np: 0.7500 0.0654 0.7240  7 S 2.77-2.91
Np: 0.2500 0.9346 0.2760  7 S 2.77-2.91
Np: 0.2500 0.4346 0.2240  7 S 2.77-2.91
Np: 0.7500 0.5654 0.7760  7 S 2.77-2.91
Mn: 0.2500 0.3779 0.6385  4 S 2.26-2.30
Mn: 0.7500 0.6221 0.3615  4 S 2.26-2.30
Mn: 0.7500 0.1221 0.1385  4 S 2.26-2.30
Mn: 0.2500 0.8779 0.8615  4 S 2.26-2.30
S: 0.2500 0.3027 0.7809  1 Mn 2.26
S: 0.7500 0.6973 0.2191  1 Mn 2.26
S: 0.7500 0.1973 0.2809  1 Mn 2.26
S: 0.2500 0.8027 0.7191  1 Mn 2.26
S: 0.7500 0.0209 0.9057  2 Mn 2.28
S: 0.2500 0.9791 0.0943  2 Mn 2.28
S: 0.2500 0.4791 0.4057  2 Mn 2.28
S: 0.7500 0.5209 0.5943  2 Mn 2.28
S: 0.2500 0.1061 0.5805  1 Mn 2.30
S: 0.7500 0.8939 0.4195  1 Mn 2.30
S: 0.7500 0.3939 0.0805  1 Mn 2.30
S: 0.2500 0.6061 0.9195  1 Mn 2.30

Calculated values
M_tot ... 11.01 Bohr magnetons per cell
Space-group type ... Pnma (62)
D(E_F) ... 17.86 states/eV/f.u.
Energy ... -8.979 eV/atom
Uncorrected formation energy ... -6.44 eV per formula unit

=====

No. 2
TlP2Br | PBE-GGA | optimized geometry

Unit cell a=4.2984 b=3.2774 c=8.9490 alpha=90.00 beta=103.71 gamma=90.00
With the nearest neighbours (Å) after each atom.
Fractional positions:
Tl: 0.6274 0.0000 0.8143  4 Br 3.23, 2 Tl 3.28
P: 0.9050 0.0000 0.3713  2 P 2.15
P: 0.9869 0.5000 0.5311  2 P 2.15
Br: 0.2276 0.5000 0.0169  4 Tl 3.23, 2 Br 3.28

Calculated values
Distance to the lowest polymorph of the same formula ... 45 meV per atom
M_tot ... 0.00 Bohr magnetons per cell
Space-group type ... Pm (6)
D(E_F) ... 1.07 states/eV/f.u.
Energy ... -3.789 eV/atom
Uncorrected formation energy ... -0.30 eV per formula unit

=====

No. 3
Tb8Nd2Zr | PBE-GGA | optimized geometry

Unit cell a=4.9977 b=7.9394 c=9.3719 alpha=104.66 beta=105.46 gamma=90.00
With the nearest neighbours (Å) after each atom.
Fractional positions:
Tb: 0.5880 0.4417 0.1761  1 Zr 3.45, 8 Tb 3.48-3.66, 3 Nd 3.57-3.58
Tb: 0.3221 0.0908 0.6442  1 Zr 3.47, 8 Tb 3.50-3.68, 3 Nd 3.57-3.58
Tb: 0.1306 0.1712 0.2611  7 Tb 3.40-3.68, 2 Zr 3.46, 3 Nd 3.64
Tb: 0.0435 0.7366 0.0869  9 Tb 3.40-3.67, 2 Zr 3.48, 1 Nd 3.59
Tb: 0.8694 0.8288 0.7389  7 Tb 3.40-3.68, 2 Zr 3.46, 3 Nd 3.64
Tb: 0.6779 0.9092 0.3557  1 Zr 3.47, 8 Tb 3.50-3.68, 3 Nd 3.57-3.58
Tb: 0.4120 0.5583 0.8239  1 Zr 3.45, 8 Tb 3.48-3.66, 3 Nd 3.57-3.58
Tb: 0.9565 0.2634 0.9131  9 Tb 3.40-3.67, 2 Zr 3.48, 1 Nd 3.59
Nd: 0.2260 0.6353 0.4519  2 Nd 3.55, 10 Tb 3.57-3.64
Nd: 0.7740 0.3647 0.5481  2 Nd 3.55, 10 Tb 3.57-3.64
Zr: 0.5000 0.0000 0.0000  12 Tb 3.45-3.48

Calculated values
M_tot ... 0.00 Bohr magnetons per cell
Calculated formation energy ... 0.044 eV per atom
Space-group type ... C2/m (12)
D(E_F) ... 14.16 states/eV/f.u.
Energy ... -4.967 eV/atom

=====

What is the D(E_F) in the first record?
17.86 states/eV/f.u.

=====

Look up the M_tot of the second one.
0.00 Bohr magnetons per cell

=====

Which formula does entry 2 have?
TlP2Br

=====

Among the records above, which one has the lowest D(E_F)?
TlP2Br